DFT (PBE-GGA) results for a relaxed structure of Nd5PuIr4.

Geometry as POSCAR:
```
Nd5PuIr4
1.0
7.687 -2.382 0.000
7.687 2.382 0.000
-0.198 0.000 7.046
Nd Pu Ir
5 1 4
Direct
0.000 0.000 0.000 Nd
0.333 0.333 0.495 Nd
0.334 0.334 0.992 Nd
0.666 0.666 0.008 Nd
0.667 0.667 0.505 Nd
0.000 0.000 0.500 Pu
0.163 0.163 0.753 Ir
0.493 0.493 0.734 Ir
0.507 0.507 0.266 Ir
0.837 0.837 0.247 Ir
```

- SG = C2/m (12)
- magnetization (μB/atom) = 0.515
- crystal system = monoclinic
- ΔE_f (eV/atom) = -0.524

---

DFT (PBE-GGA) results for a relaxed structure of InSb2Ru.

Geometry as POSCAR:
```
InSb2Ru
1.0
3.451 -2.000 0.000
3.451 2.000 0.000
-2.310 0.000 7.193
In Sb Ru
1 2 1
Direct
0.000 0.000 0.000 In
0.229 0.229 0.688 Sb
0.771 0.771 0.312 Sb
0.500 0.500 0.500 Ru
```

- SG = C2/m (12)
- magnetization (μB/atom) = 0.000
- crystal system = monoclinic
- formation energy without anion corrections (eV/atom) = 0.07

---

DFT (PBE-GGA) results for a relaxed structure of CsGa6Se8.

Geometry as POSCAR:
```
CsGa6Se8
1.0
5.491 3.170 4.062
-5.491 3.170 4.062
0.000 -6.341 4.062
Cs Ga Se
1 6 8
Direct
0.000 0.000 0.000 Cs
0.198 0.631 0.327 Ga
0.327 0.198 0.631 Ga
0.369 0.673 0.802 Ga
0.631 0.327 0.198 Ga
0.673 0.802 0.369 Ga
0.802 0.369 0.673 Ga
0.132 0.410 0.790 Se
0.210 0.868 0.590 Se
0.330 0.330 0.330 Se
0.410 0.790 0.132 Se
0.590 0.210 0.868 Se
0.670 0.670 0.670 Se
0.790 0.132 0.410 Se
0.868 0.590 0.210 Se
```

- SG = R-3 (148)
- magnetization (μB/atom) = 0.000
- crystal system = trigonal
- formation energy without anion corrections (eV/atom) = -0.50

---

DFT (PBE-GGA) results for a relaxed structure of Al2NiSe.

Geometry as POSCAR:
```
Al2NiSe
1.0
2.637 -3.644 0.000
2.637 3.644 0.000
-0.009 0.000 3.209
Al Ni Se
2 1 1
Direct
0.000 0.500 0.000 Al
0.500 0.000 0.000 Al
0.000 0.000 0.500 Ni
0.500 0.500 0.500 Se
```

- SG = C2/m (12)
- magnetization (μB/atom) = 0.000
- crystal system = monoclinic
- formation energy without anion corrections (eV/atom) = -0.06

---

DFT (PBE-GGA) results for a relaxed structure of Na3LaF6.

Geometry as POSCAR:
```
Na3LaF6
1.0
3.738 -5.656 0.000
3.738 5.656 0.000
0.000 0.000 3.920
Na La F
3 1 6
Direct
0.000 0.000 0.000 Na
0.000 0.500 0.500 Na
0.500 0.000 0.500 Na
0.500 0.500 0.000 La
0.108 0.352 0.000 F
0.352 0.108 0.000 F
0.373 0.627 0.500 F
0.627 0.373 0.500 F
0.648 0.892 0.000 F
0.892 0.648 0.000 F
```

- SG = Cmmm (65)
- magnetization (μB/atom) = 0.000
- crystal system = orthorhombic
- formation energy without anion corrections (eV/atom) = -3.25

---

DFT (PBE-GGA) results for a relaxed structure of Ac3DySi2N6.

Geometry as POSCAR:
```
Ac3DySi2N6
1.0
5.955 0.000 0.000
-2.978 5.157 0.000
0.000 0.000 6.840
Ac Dy Si N
3 1 2 6
Direct
0.000 0.000 0.000 Ac
0.333 0.667 0.659 Ac
0.667 0.333 0.341 Ac
0.000 0.000 0.500 Dy
0.333 0.667 0.209 Si
0.667 0.333 0.791 Si
0.176 0.352 0.290 N
0.176 0.824 0.290 N
0.352 0.176 0.710 N
0.648 0.824 0.290 N
0.824 0.176 0.710 N
0.824 0.648 0.710 N
```

- SG = P-3m1 (164)
- magnetization (μB/atom) = 0.124
- crystal system = trigonal
- formation energy without anion corrections (eV/atom) = -1.13

---

DFT (PBE-GGA) results for a relaxed structure of YTm7Sc3.

Geometry as POSCAR:
```
YTm7Sc3
1.0
6.871 0.000 0.000
-3.435 5.950 0.000
0.000 0.000 8.192
Y Tm Sc
1 7 3
Direct
0.000 0.000 0.000 Y
0.003 0.502 0.993 Tm
0.331 0.166 0.343 Tm
0.333 0.667 0.335 Tm
0.498 0.502 0.993 Tm
0.498 0.997 0.993 Tm
0.834 0.166 0.343 Tm
0.834 0.669 0.343 Tm
0.167 0.335 0.667 Sc
0.167 0.833 0.667 Sc
0.665 0.833 0.667 Sc
```

- SG = P3m1 (156)
- magnetization (μB/atom) = 0.000
- crystal system = trigonal
- ΔE_f (eV/atom) = 0.227

---

DFT (PBE-GGA) results for a relaxed structure of La2CuTe.

Geometry as POSCAR:
```
La2CuTe
1.0
4.573 0.000 0.000
0.000 2.163 5.904
0.000 -2.163 5.904
La Cu Te
2 1 1
Direct
0.000 0.000 0.000 La
0.500 0.275 0.275 La
0.000 0.747 0.747 Cu
0.500 0.556 0.556 Te
```

- SG = Amm2 (38)
- magnetization (μB/atom) = 0.000
- crystal system = orthorhombic
- formation energy without anion corrections (eV/atom) = -0.74

---

DFT (PBE-GGA) results for a relaxed structure of Er4IrS3.

Geometry as POSCAR:
```
Er4IrS3
1.0
4.007 -5.593 0.000
4.007 5.593 0.000
0.000 0.000 3.872
Er Ir S
4 1 3
Direct
0.240 0.240 0.500 Er
0.244 0.756 0.000 Er
0.756 0.244 0.000 Er
0.760 0.760 0.500 Er
0.000 0.000 0.000 Ir
0.000 0.500 0.500 S
0.500 0.000 0.500 S
0.500 0.500 0.000 S
```

- SG = Cmmm (65)
- magnetization (μB/atom) = 0.000
- crystal system = orthorhombic
- formation energy without anion corrections (eV/atom) = -1.64

---

DFT (PBE-GGA) results for a relaxed structure of LiCdIn4.

Geometry as POSCAR:
```
LiCdIn4
1.0
4.302 -2.477 0.000
4.302 2.477 0.000
-1.311 0.000 7.294
Li Cd In
1 1 4
Direct
0.000 0.000 0.000 Li
0.500 0.500 0.500 Cd
0.192 0.192 0.642 In
0.352 0.352 0.086 In
0.648 0.648 0.914 In
0.808 0.808 0.358 In
```

- SG = C2/m (12)
- magnetization (μB/atom) = 0.000
- crystal system = monoclinic
- ΔE_f (eV/atom) = -0.019

---

DFT (PBE-GGA) results for a relaxed structure of Ti2TlPdPb.

Geometry as POSCAR:
```
Ti2TlPdPb
1.0
5.205 0.000 0.000
0.000 5.205 0.000
0.000 0.000 5.054
Ti Tl Pd Pb
2 1 1 1
Direct
0.000 0.500 0.000 Ti
0.500 0.000 0.000 Ti
0.000 0.000 0.500 Tl
0.500 0.500 0.500 Pd
0.500 0.500 0.000 Pb
```

- SG = P4/mmm (123)
- magnetization (μB/atom) = 0.485
- crystal system = tetragonal
- ΔE_f (eV/atom) = 0.919

---

DFT (PBE-GGA) results for a relaxed structure of Tb5PmY2Sc.

Geometry as POSCAR:
```
Tb5PmY2Sc
1.0
2.799 -9.880 0.000
2.799 9.880 0.000
0.000 0.000 10.425
Tb Pm Y Sc
10 2 4 2
Direct
0.018 0.982 0.500 Tb
0.122 0.878 0.780 Tb
0.202 0.798 0.465 Tb
0.222 0.778 0.081 Tb
0.480 0.520 0.780 Tb
0.520 0.480 0.280 Tb
0.778 0.222 0.581 Tb
0.798 0.202 0.965 Tb
0.878 0.122 0.280 Tb
0.982 0.018 0.000 Tb
0.087 0.913 0.217 Pm
0.913 0.087 0.717 Pm
0.386 0.614 0.495 Y
0.388 0.612 0.075 Y
0.612 0.388 0.575 Y
0.614 0.386 0.995 Y
0.303 0.697 0.775 Sc
0.697 0.303 0.275 Sc
```

- SG = Cmc2_1 (36)
- magnetization (μB/atom) = 0.000
- crystal system = orthorhombic
- ΔE_f (eV/atom) = 0.166